Material: K2VPbF6
Method: DFT, GGA+U
State: optimized geometry

```
20
Lattice="-0.0196 -6.0318 1.2947 3.9393 -1.1511 -5.3032 7.2450 1.0811 5.1469" Properties=species:S:1:pos:R:3 pbc="T T T"
V 4.4502 -2.7201 2.0932
F 8.6617 -0.0884 -0.2803
Pb 6.4119 -0.2745 -1.1818
Pb 1.1400 -3.3519 -0.9006
K 4.7405 -3.7068 -2.4995
F 0.0534 -4.6103 0.8933
F 7.4789 -5.0480 -1.6811
K 8.8267 -3.0970 0.4034
F 5.2750 -4.4931 1.3047
F 6.1352 -2.4569 3.3448
F 2.2573 -5.1651 -2.0925
V 3.1017 -0.9064 -4.1757
F 0.0636 -1.4614 0.2174
F 2.7122 -2.9677 0.9131
K 5.9702 0.5517 2.6611
F 7.4883 -2.1650 -2.2999
F 2.2670 -2.1945 -2.7301
F 4.8398 -0.6587 -2.9955
K 2.8114 0.0804 0.4170
F 5.2849 -1.4319 0.6477
```

Summary:
Space group: Pmmn, No. 59
DFT total energy, eV per atom: -5.0755
Density, g/cm3: 4.04